Computed, not measured: a relaxed KSrCeMnO6 crystal at the PBE+U level of DFT.

For the electronic total energy, the calculation gives -0.2495 hartree per atom.

The space group is F-43m (No. 216) and the conventional cell measures 8.2750, 8.2750 and 8.2750 Å, with angles of 90.00, 90.00 and 90.00 degrees. Symmetry generates all atoms from K at (0.0000, 0.0000, 0.0000), Sr at (0.0000, 0.0000, 0.5000), Ce at (0.2500, 0.2500, 0.2500), Mn at (0.2500, 0.2500, 0.7500) and O at (0.0176, 0.2500, 0.7500).